DFT (PBE) results for crystalline Er3As4Pd7 at its relaxed geometry.

Unit cell a=15.6562 b=4.1172 c=9.5912 alpha=90.00 beta=125.78 gamma=90.00
Last column: nearest neighbours and their distance in Å.
Space group C2/m (No. 12)
Symmetry-distinct sites (fractional):
Er 0.0000 0.0000 0.0000 x2  6 As 2.99-3.03
Er 0.1785 0.5000 0.6731 x4  10 Pd 2.97-3.24, 4 As 3.02-3.08
As 0.1059 0.0000 0.8230 x4  6 Pd 2.52-2.60
As 0.1583 0.5000 0.2498 x4  5 Pd 2.52-2.67
Pd 0.0000 0.0000 0.5000 x2  2 As 2.52
Pd 0.0130 0.5000 0.2964 x4  3 As 2.55-2.56, 2 Pd 2.84
Pd 0.1672 0.0000 0.4292 x4  3 As 2.63-2.67, 4 Pd 2.84-2.95
Pd 0.1938 0.5000 0.0253 x4  4 As 2.52-2.60

Results
- Raw total energy: -5.811 eV per atom
- Total magnetic moment: 0.00 μB/atom
- Energy relative to the elements: -1227 kJ/mol of formula units
- DOS at the Fermi energy: 15.04 states/eV/cell
- Volume: 502 Å³/cell